[1]
## Ca3ErH8 (PBE-GGA)

Data for Ca3ErH8 after structural relaxation.

Properties
The density of states at the Fermi level is 0.91 states/eV/f.u. The magnetic moment comes out at 0.000 μB per atom. For the total energy, the calculation gives -3.698 eV/atom.

Unit cell a=5.306 b=5.306 c=5.306 alpha=90.00 beta=90.00 gamma=90.00
Positions (direct):
H  0.243  0.757  0.243
H  0.757  0.757  0.243
H  0.757  0.243  0.757
H  0.243  0.243  0.757
H  0.243  0.243  0.243
H  0.757  0.757  0.757
H  0.757  0.243  0.243
H  0.243  0.757  0.757
Ca  0.000  0.500  0.500
Ca  0.500  0.500  0.000
Ca  0.500  0.000  0.500
Er  0.000  0.000  0.000

=====

[2]
## ZrAgIr (PBE-GGA)

Data for ZrAgIr after structural relaxation.

Properties
As for the energy relative to the elements: -0.410 eV per atom. The density of states at the Fermi level is 2.10 states/eV/f.u. The magnetic moment comes out at 0.000 μB per atom. The value obtained for the energy above the most stable polymorph in this dataset is 35.2 meV per atom. For the total energy, the calculation gives -7.163 eV/atom.

Unit cell a=4.869 b=9.135 c=4.897 alpha=90.00 beta=90.00 gamma=90.00
Positions (direct):
Ag  0.500  0.932  0.250
Ag  0.000  0.432  0.250
Ag  0.000  0.568  0.750
Ag  0.500  0.068  0.750
Ir  0.000  0.107  0.250
Ir  0.500  0.607  0.250
Ir  0.000  0.893  0.750
Ir  0.500  0.393  0.750
Zr  0.500  0.738  0.750
Zr  0.000  0.762  0.250
Zr  0.000  0.238  0.750
Zr  0.500  0.262  0.250

=====

[3]
## CaGaGe2 (PBE-GGA)

Data for CaGaGe2 after structural relaxation.

Properties
As for the energy relative to the elements: -0.145 eV per atom. The density of states at the Fermi level is 0.91 states/eV/f.u. The magnetic moment comes out at 0.000 μB per atom. For the total energy, the calculation gives -3.711 eV/atom.

Unit cell a=4.650 b=4.650 c=9.639 alpha=76.04 beta=76.04 gamma=90.00
Positions (direct):
Ca  0.250  0.750  0.500
Ca  0.500  0.500  0.000
Ge  0.720  0.125  0.250
Ge  0.375  0.280  0.750
Ge  0.030  0.625  0.250
Ge  0.875  0.970  0.750
Ga  0.000  0.000  0.000
Ga  0.750  0.250  0.500

=====

[4]
## LiAc3Te5 (PBE-GGA)

Data for LiAc3Te5 after structural relaxation.

Properties
The magnetic moment comes out at 0.000 μB per atom. For the total energy, the calculation gives -4.777 eV/atom.

Unit cell a=8.850 b=8.850 c=9.921 alpha=116.49 beta=116.49 gamma=90.00
Positions (direct):
Li  0.250  0.750  0.500
Li  0.750  0.250  0.500
Ac  0.250  0.250  0.500
Ac  0.348  0.848  0.000
Ac  0.848  0.652  0.000
Ac  0.750  0.750  0.500
Ac  0.652  0.152  0.000
Ac  0.152  0.348  0.000
Te  0.519  0.690  0.709
Te  0.810  0.981  0.291
Te  0.690  0.190  0.709
Te  0.190  0.019  0.709
Te  0.000  0.000  0.000
Te  0.019  0.519  0.709
Te  0.981  0.481  0.291
Te  0.481  0.310  0.291
Te  0.500  0.500  0.000
Te  0.310  0.810  0.291

=====

[5]
## YCr2Pb (PBE-GGA)

Data for YCr2Pb after structural relaxation.

Properties
As for the energy relative to the elements: 0.525 eV per atom. The density of states at the Fermi level is 3.62 states/eV/f.u. The magnetic moment comes out at 0.000 μB per atom. For the total energy, the calculation gives -6.830 eV/atom.

Unit cell a=4.829 b=3.384 c=5.416 alpha=88.05 beta=90.00 gamma=90.00
Positions (direct):
Cr  0.000  0.313  0.582
Cr  0.000  0.187  0.918
Y  0.500  0.750  0.750
Pb  0.500  0.250  0.250

=====

[6]
## TlAs2PBr (PBE-GGA)

Data for TlAs2PBr after structural relaxation.

Properties
The density of states at the Fermi level is 2.87 states/eV/f.u. The magnetic moment comes out at 0.047 μB per atom. The value obtained for the energy above the most stable polymorph in this dataset is 904.6 meV per atom. For the total energy, the calculation gives -2.533 eV/atom.

Unit cell a=5.487 b=5.487 c=5.525 alpha=90.00 beta=90.00 gamma=90.00
Positions (direct):
Br  0.000  0.000  0.500
Tl  0.000  0.000  0.000
As  0.000  0.500  0.000
As  0.500  0.000  0.000
P  0.500  0.500  0.500